## Ac3Co5O12 (GGA+U)

Data for an optimized crystal structure of Ac3Co5O12.

Cell and atoms, written as CIF:
```
data_Ac3Co5O12
_cell_length_a 11.123
_cell_length_b 11.123
_cell_length_c 11.123
_cell_angle_alpha 109.47
_cell_angle_beta 109.47
_cell_angle_gamma 109.47
_space_group_name_H-M_alt 'P 1'
_space_group_IT_number 1
loop_
_space_group_symop_operation_xyz
'x,y,z'
loop_
_atom_site_label
_atom_site_fract_x
_atom_site_fract_y
_atom_site_fract_z
Ac1 0.125 0.250 0.375
Ac2 0.125 0.375 0.750
Ac3 0.250 0.375 0.125
Ac4 0.250 0.875 0.625
Ac5 0.375 0.125 0.250
Ac6 0.375 0.750 0.125
Ac7 0.625 0.250 0.875
Ac8 0.625 0.875 0.750
Ac9 0.750 0.125 0.375
Ac10 0.750 0.625 0.875
Ac11 0.875 0.625 0.250
Ac12 0.875 0.750 0.625
Co1 0.000 0.000 0.000
Co2 0.000 0.000 0.500
Co3 0.000 0.500 0.000
Co4 0.000 0.500 0.500
Co5 0.125 0.750 0.875
Co6 0.125 0.875 0.250
Co7 0.250 0.125 0.875
Co8 0.250 0.625 0.375
Co9 0.375 0.250 0.625
Co10 0.375 0.625 0.750
Co11 0.500 0.000 0.000
Co12 0.500 0.000 0.500
Co13 0.500 0.500 0.000
Co14 0.500 0.500 0.500
Co15 0.625 0.375 0.250
Co16 0.625 0.750 0.375
Co17 0.750 0.375 0.625
Co18 0.750 0.875 0.125
Co19 0.875 0.125 0.750
Co20 0.875 0.250 0.125
O1 0.014 0.191 0.113
O2 0.014 0.322 0.901
O3 0.078 0.691 0.678
O4 0.078 0.887 0.401
O5 0.099 0.613 0.422
O6 0.099 0.986 0.678
O7 0.113 0.014 0.191
O8 0.113 0.599 0.922
O9 0.178 0.191 0.578
O10 0.178 0.486 0.599
O11 0.191 0.113 0.014
O12 0.191 0.578 0.178
O13 0.309 0.322 0.922
O14 0.309 0.486 0.387
O15 0.322 0.901 0.014
O16 0.322 0.922 0.309
O17 0.387 0.309 0.486
O18 0.387 0.578 0.901
O19 0.401 0.078 0.887
O20 0.401 0.822 0.514
O21 0.422 0.099 0.613
O22 0.422 0.822 0.809
O23 0.486 0.387 0.309
O24 0.486 0.599 0.178
O25 0.514 0.401 0.822
O26 0.514 0.613 0.691
O27 0.578 0.178 0.191
O28 0.578 0.901 0.387
O29 0.599 0.178 0.486
O30 0.599 0.922 0.113
O31 0.613 0.422 0.099
O32 0.613 0.691 0.514
O33 0.678 0.078 0.691
O34 0.678 0.099 0.986
O35 0.691 0.514 0.613
O36 0.691 0.678 0.078
O37 0.809 0.422 0.822
O38 0.809 0.887 0.986
O39 0.822 0.514 0.401
O40 0.822 0.809 0.422
O41 0.887 0.401 0.078
O42 0.887 0.986 0.809
O43 0.901 0.014 0.322
O44 0.901 0.387 0.578
O45 0.922 0.113 0.599
O46 0.922 0.309 0.322
O47 0.986 0.678 0.099
O48 0.986 0.809 0.887
```

Computed properties:
- symmetry = Ia-3d (230)
- total magnetic moment (μB per formula unit) = 12.07
- crystal system = cubic
- VASP energy (eV per atom) = -6.69